Entry 1:
A plane-wave DFT calculation with GGA-PBE was carried out for a relaxed CuPI3 crystal.

Unit cell a=5.402 b=5.402 c=5.402 alpha=90.00 beta=90.00 gamma=90.00
Each line ends with the local moment (μB).
Element x y z (fractional)
I 0.000 0.500 0.000  -0.06
I 0.000 0.000 0.500  -0.02
I 0.500 0.000 0.000  -0.05
P 0.500 0.500 0.500  0.89
Cu 0.000 0.000 0.000  -0.02

Values from the calculation:
Polymorph energy (0 for the lowest one) (meV/atom): 737
Space-group type: Pm-3m, No. 221

---

Entry 2:
A plane-wave DFT calculation with GGA-PBE was carried out for a relaxed Pm4CuPI2 crystal.

Unit cell a=4.124 b=7.421 c=8.011 alpha=106.73 beta=90.00 gamma=90.00
Element x y z (fractional)
Pm 0.500 0.226 0.194
Pm 0.500 0.774 0.806
Pm 0.000 0.276 0.805
Pm 0.000 0.724 0.195
Cu 0.000 0.000 0.000
P 0.500 0.500 0.000
I 0.500 0.000 0.500
I 0.000 0.500 0.500

Values from the calculation:
Space-group type: P2/m, No. 10
Calculated total energy (eV/atom): -4.874

---

Entry 3:
A plane-wave DFT calculation with GGA-PBE was carried out for a relaxed Pr8CuP3I4 crystal.

Unit cell a=8.519 b=9.193 c=8.519 alpha=117.60 beta=120.00 gamma=90.00
Element x y z (fractional)
Pr 0.232 0.695 0.963
Pr 0.232 0.695 0.464
Pr 0.270 0.309 0.540
Pr 0.731 0.695 0.963
Pr 0.269 0.305 0.037
Pr 0.730 0.691 0.460
Pr 0.768 0.305 0.536
Pr 0.768 0.305 0.037
Cu 0.000 0.500 0.000
P 0.500 0.500 0.000
P 0.500 0.500 0.500
P 0.000 0.500 0.500
I 0.500 0.000 0.000
I 0.500 0.000 0.500
I 0.000 0.000 0.000
I 0.000 0.000 0.500

Values from the calculation:
Space-group type: R-3m, No. 166
Calculated total energy (eV/atom): -5.187

---

Entry 4:
A plane-wave DFT calculation with GGA-PBE was carried out for a relaxed Pr4CuPI2 crystal.

Unit cell a=4.179 b=7.515 c=8.156 alpha=106.79 beta=90.00 gamma=90.00
Element x y z (fractional)
Pr 0.500 0.228 0.196
Pr 0.500 0.772 0.804
Pr 0.000 0.277 0.803
Pr 0.000 0.723 0.197
Cu 0.000 0.000 0.000
P 0.500 0.500 0.000
I 0.500 0.000 0.500
I 0.000 0.500 0.500

Values from the calculation:
Space-group type: P2/m, No. 10
Calculated total energy (eV/atom): -4.895

---

Entry 5:
A plane-wave DFT calculation with GGA-PBE was carried out for a relaxed Rb2CuPI6 crystal.

Unit cell a=8.023 b=8.023 c=8.043 alpha=60.08 beta=60.08 gamma=90.00
Element x y z (fractional)
I 0.251 0.251 0.497
I 0.749 0.749 0.503
I 0.250 0.250 0.000
I 0.750 0.750 0.000
I 0.750 0.250 0.000
I 0.250 0.750 0.000
P 0.500 0.500 0.000
Cu 0.000 0.000 0.000
Rb 0.750 0.250 0.500
Rb 0.250 0.750 0.500

Values from the calculation:
Space-group type: I4/mmm, No. 139
Calculated total energy (eV/atom): -2.645

---

Entry 6:
A plane-wave DFT calculation with GGA-PBE was carried out for a relaxed Rb2CuPI crystal.

Unit cell a=6.727 b=6.727 c=4.251 alpha=90.00 beta=90.00 gamma=90.00
Element x y z (fractional)
I 0.500 0.500 0.500
P 0.000 0.000 0.000
Cu 0.000 0.000 0.500
Rb 0.000 0.500 0.000
Rb 0.500 0.000 0.000

Values from the calculation:
Space-group type: P4/mmm, No. 123
Calculated total energy (eV/atom): -3.162

---

Entry 7:
A plane-wave DFT calculation with GGA-PBE was carried out for a relaxed CuP2SI crystal.

Unit cell a=4.703 b=4.703 c=4.462 alpha=90.00 beta=90.00 gamma=90.00
Element x y z (fractional)
I 0.500 0.500 0.500
P 0.000 0.500 0.000
P 0.500 0.000 0.000
S 0.000 0.000 0.500
Cu 0.000 0.000 0.000

Values from the calculation:
Polymorph energy (0 for the lowest one) (meV/atom): 0
Space-group type: P4/mmm, No. 123

---

Entry 8:
A plane-wave DFT calculation with GGA-PBE was carried out for a relaxed CuP2SI crystal.

Unit cell a=5.172 b=5.060 c=5.172 alpha=90.00 beta=90.00 gamma=90.00
Each line ends with the local moment (μB).
Element x y z (fractional)
I 0.000 0.000 0.000  -0.01
P 0.000 0.000 0.500  0.27
P 0.500 0.000 0.000  0.23
S 0.000 0.500 0.000  0.09
Cu 0.500 0.500 0.500  0.06

Values from the calculation:
Polymorph energy (0 for the lowest one) (meV/atom): 851
Space-group type: P4/mmm, No. 123

---

Entry 9:
A plane-wave DFT calculation with GGA-PBE was carried out for a relaxed CuPS2I crystal.

Unit cell a=4.544 b=4.544 c=4.772 alpha=90.00 beta=90.00 gamma=90.00
Element x y z (fractional)
I 0.500 0.500 0.500
P 0.000 0.000 0.500
S 0.000 0.500 0.000
S 0.500 0.000 0.000
Cu 0.000 0.000 0.000

Values from the calculation:
Polymorph energy (0 for the lowest one) (meV/atom): 0
Space-group type: P4/mmm, No. 123

---

Entry 10:
A plane-wave DFT calculation with GGA-PBE was carried out for a relaxed CuP4S3I crystal.

Unit cell a=7.899 b=11.827 c=12.121 alpha=90.00 beta=109.02 gamma=90.00
Element x y z (fractional)
Cu 0.807 0.500 0.000
Cu 0.307 0.000 0.000
Cu 0.693 0.000 0.000
Cu 0.193 0.500 0.000
P 0.619 0.326 0.238
P 0.290 0.454 0.580
P 0.438 0.476 0.161
P 0.723 0.476 0.161
P 0.062 0.976 0.839
P 0.938 0.024 0.161
P 0.881 0.826 0.762
P 0.777 0.976 0.839
P 0.119 0.174 0.238
P 0.223 0.024 0.161
P 0.210 0.954 0.420
P 0.562 0.524 0.839
P 0.710 0.546 0.420
P 0.381 0.674 0.762
P 0.277 0.524 0.839
P 0.790 0.046 0.580
S 0.142 0.423 0.695
S 0.291 0.635 0.583
S 0.553 0.423 0.695
S 0.791 0.865 0.583
S 0.642 0.077 0.695
S 0.709 0.365 0.417
S 0.858 0.577 0.305
S 0.053 0.077 0.695
S 0.947 0.923 0.305
S 0.209 0.135 0.417
S 0.447 0.577 0.305
S 0.358 0.923 0.305
I 0.476 0.175 0.953
I 0.976 0.325 0.953
I 0.524 0.825 0.047
I 0.024 0.675 0.047

Values from the calculation:
Space-group type: Cmce, No. 64
Calculated total energy (eV/atom): -4.590

---

Entry 11:
A plane-wave DFT calculation with GGA-PBE was carried out for a relaxed CuSb2PI crystal.

Unit cell a=5.851 b=4.727 c=5.851 alpha=90.00 beta=90.00 gamma=90.00
Element x y z (fractional)
I 0.000 0.000 0.000
Sb 0.000 0.000 0.500
Sb 0.500 0.000 0.000
Cu 0.000 0.500 0.000
P 0.500 0.500 0.500

Values from the calculation:
Polymorph energy (0 for the lowest one) (meV/atom): 546
Space-group type: P4/mmm, No. 123

---

Entry 12:
A plane-wave DFT calculation with GGA-PBE was carried out for a relaxed CuSb2PI crystal.

Unit cell a=5.089 b=5.089 c=5.056 alpha=90.00 beta=90.00 gamma=90.00
Element x y z (fractional)
I 0.000 0.000 0.500
Sb 0.000 0.500 0.000
Sb 0.500 0.000 0.000
Cu 0.000 0.000 0.000
P 0.500 0.500 0.500

Values from the calculation:
Polymorph energy (0 for the lowest one) (meV/atom): 0
Space-group type: P4/mmm, No. 123

---

Entry 13:
A plane-wave DFT calculation with GGA-PBE was carried out for a relaxed CuSb2PI crystal.

Unit cell a=5.263 b=5.263 c=5.310 alpha=90.00 beta=90.00 gamma=90.00
Element x y z (fractional)
I 0.000 0.000 0.500
Sb 0.000 0.500 0.000
Sb 0.500 0.000 0.000
Cu 0.500 0.500 0.500
P 0.000 0.000 0.000

Values from the calculation:
Polymorph energy (0 for the lowest one) (meV/atom): 73
Space-group type: P4/mmm, No. 123

---

Entry 14:
A plane-wave DFT calculation with GGA-PBE was carried out for a relaxed ScCuP2I crystal.

Unit cell a=4.880 b=5.971 c=4.880 alpha=90.00 beta=90.00 gamma=90.00
Each line ends with the local moment (μB).
Element x y z (fractional)
I 0.000 0.500 0.000  0.08
Sc 0.000 0.000 0.000  0.02
Cu 0.500 0.500 0.500  0.02
P 0.000 0.000 0.500  0.15
P 0.500 0.000 0.000  0.11

Values from the calculation:
Space-group type: P4/mmm, No. 123
Calculated total energy (eV/atom): -4.017

---

Entry 15:
A plane-wave DFT calculation with GGA-PBE was carried out for a relaxed Cu2SnPI crystal.

Unit cell a=4.383 b=7.153 c=4.383 alpha=90.00 beta=90.00 gamma=90.00
Element x y z (fractional)
I 0.000 0.500 0.000
P 0.000 0.000 0.000
Sn 0.500 0.500 0.500
Cu 0.000 0.000 0.500
Cu 0.500 0.000 0.000

Values from the calculation:
Space-group type: P4/mmm, No. 123
Calculated total energy (eV/atom): -3.466

---

Entry 16:
A plane-wave DFT calculation with GGA-PBE was carried out for a relaxed Ta2CuPI crystal.

Unit cell a=4.637 b=5.389 c=4.637 alpha=90.00 beta=90.00 gamma=90.00
Element x y z (fractional)
I 0.000 0.500 0.000
P 0.000 0.000 0.000
Cu 0.500 0.500 0.500
Ta 0.000 0.000 0.500
Ta 0.500 0.000 0.000

Values from the calculation:
Polymorph energy (0 for the lowest one) (meV/atom): 0
Space-group type: P4/mmm, No. 123

---

Entry 17:
A plane-wave DFT calculation with GGA-PBE was carried out for a relaxed Ta2CuPI crystal.

Unit cell a=5.083 b=4.537 c=5.083 alpha=90.00 beta=90.00 gamma=90.00
Element x y z (fractional)
I 0.000 0.000 0.000
P 0.500 0.500 0.500
Cu 0.000 0.500 0.000
Ta 0.000 0.000 0.500
Ta 0.500 0.000 0.000

Values from the calculation:
Polymorph energy (0 for the lowest one) (meV/atom): 892
Space-group type: P4/mmm, No. 123

---

Entry 18:
A plane-wave DFT calculation with GGA-PBE was carried out for a relaxed CuTe2PI crystal.

Unit cell a=5.182 b=5.182 c=5.078 alpha=90.00 beta=90.00 gamma=90.00
Element x y z (fractional)
I 0.000 0.000 0.500
P 0.500 0.500 0.500
Te 0.000 0.500 0.000
Te 0.500 0.000 0.000
Cu 0.000 0.000 0.000

Values from the calculation:
Polymorph energy (0 for the lowest one) (meV/atom): 23
Space-group type: P4/mmm, No. 123

---

Entry 19:
A plane-wave DFT calculation with GGA-PBE was carried out for a relaxed CuTe2PI crystal.

Unit cell a=5.309 b=5.309 c=5.325 alpha=90.00 beta=90.00 gamma=90.00
Element x y z (fractional)
I 0.000 0.000 0.500
P 0.000 0.000 0.000
Te 0.000 0.500 0.000
Te 0.500 0.000 0.000
Cu 0.500 0.500 0.500

Values from the calculation:
Polymorph energy (0 for the lowest one) (meV/atom): 0
Space-group type: P4/mmm, No. 123

---

Entry 20:
A plane-wave DFT calculation with GGA-PBE was carried out for a relaxed Zr2CuPI crystal.

Unit cell a=5.185 b=4.053 c=5.185 alpha=90.00 beta=90.00 gamma=90.00
Each line ends with the local moment (μB).
Element x y z (fractional)
I 0.500 0.500 0.500  0.00
P 0.000 0.500 0.000  -0.01
Cu 0.000 0.000 0.000  0.02
Zr 0.000 0.000 0.500  0.21
Zr 0.500 0.000 0.000  0.23

Values from the calculation:
Space-group type: P4/mmm, No. 123
Calculated total energy (eV/atom): -5.433

---

Entry 21:
A plane-wave DFT calculation with GGA-PBE was carried out for a relaxed PaCuI2 crystal.

Unit cell a=3.822 b=3.822 c=9.741 alpha=78.69 beta=78.69 gamma=60.00
Each line ends with the local moment (μB).
Element x y z (fractional)
I 0.107 0.107 0.678  -0.01
I 0.893 0.893 0.322  -0.01
Pa 0.000 0.000 0.000  1.69
Cu 0.500 0.500 0.500  0.00

Values from the calculation:
Space-group type: R-3m, No. 166
Calculated total energy (eV/atom): -3.946

---

Entry 22:
A plane-wave DFT calculation with GGA-PBE was carried out for a relaxed Pa2CuI8 crystal.

Unit cell a=8.669 b=8.694 c=8.694 alpha=86.49 beta=71.81 gamma=71.81
Each line ends with the local moment (μB).
Element x y z (fractional)
Pa 0.499 0.104 0.104  0.49
Pa 0.501 0.896 0.896  0.49
Cu 0.000 0.000 0.000  0.00
I 0.748 0.100 0.754  0.00
I 0.252 0.246 0.900  0.00
I 0.772 0.203 0.203  0.00
I 0.228 0.797 0.797  0.00
I 0.748 0.754 0.100  0.00
I 0.252 0.900 0.246  0.00
I 0.272 0.356 0.356  -0.01
I 0.728 0.644 0.644  -0.01

Values from the calculation:
Space-group type: C2/m, No. 12
Calculated total energy (eV/atom): -3.906

---

Entry 23:
A plane-wave DFT calculation with GGA-PBE was carried out for a relaxed PaCu2I6 crystal.

Unit cell a=7.670 b=10.062 c=10.062 alpha=79.33 beta=83.53 gamma=83.53
Each line ends with the local moment (μB).
Element x y z (fractional)
Pa 0.250 0.096 0.904  1.04
Pa 0.750 0.904 0.096  1.04
Cu 0.208 0.525 0.655  -0.02
Cu 0.292 0.345 0.475  -0.02
Cu 0.792 0.475 0.345  -0.02
Cu 0.708 0.655 0.525  -0.02
I 0.381 0.712 0.523  -0.01
I 0.119 0.477 0.288  -0.01
I 0.619 0.288 0.477  -0.01
I 0.881 0.523 0.712  -0.01
I 0.862 0.866 0.373  -0.03
I 0.638 0.627 0.134  -0.03
I 0.138 0.134 0.627  -0.03
I 0.362 0.373 0.866  -0.03
I 0.111 0.809 0.959  -0.02
I 0.389 0.041 0.191  -0.02
I 0.889 0.191 0.041  -0.02
I 0.611 0.959 0.809  -0.02

Values from the calculation:
Polymorph energy (0 for the lowest one) (meV/atom): 58
Space-group type: C2/c, No. 15

---

Entry 24:
A plane-wave DFT calculation with GGA-PBE was carried out for a relaxed PaCu2I6 crystal.

Unit cell a=7.978 b=12.343 c=12.343 alpha=65.81 beta=54.76 gamma=54.76
Each line ends with the local moment (μB).
Element x y z (fractional)
Pa 0.250 0.233 0.767  1.05
Pa 0.750 0.767 0.233  1.05
Cu 0.363 0.482 0.625  0.00
Cu 0.137 0.375 0.518  0.00
Cu 0.637 0.518 0.375  0.00
Cu 0.863 0.625 0.482  0.00
I 0.418 0.696 0.544  -0.01
I 0.082 0.456 0.304  -0.01
I 0.582 0.304 0.456  -0.01
I 0.918 0.544 0.696  -0.01
I 0.880 0.848 0.366  -0.01
I 0.620 0.634 0.152  -0.01
I 0.120 0.152 0.634  -0.01
I 0.380 0.366 0.848  -0.01
I 0.127 0.776 0.968  -0.02
I 0.373 0.032 0.224  -0.02
I 0.873 0.224 0.032  -0.02
I 0.627 0.968 0.776  -0.02

Values from the calculation:
Polymorph energy (0 for the lowest one) (meV/atom): 0
Space-group type: C2/c, No. 15